First-principles (GGA+U) data for UCrO4 after structural relaxation, as listed in Alexandria via LeMat-Bulk.

Values from the calculation:
**Crystal system**: orthorhombic
**Total energy**: -54.9 eV/f.u.
**V**: 12.63 Å³ per atom

Structure (CIF):
```
data_UCrO4
_cell_length_a 4.893
_cell_length_b 11.984
_cell_length_c 5.170
_cell_angle_alpha 90.00
_cell_angle_beta 90.00
_cell_angle_gamma 90.00
_symmetry_space_group_name_H-M 'P b c n'
_symmetry_Int_Tables_number 60
loop_
_symmetry_equiv_pos_as_xyz
'x,y,z'
'-x,-y,-z'
'-x+1/2,-y+1/2,z+1/2'
'x+1/2,y+1/2,-z+1/2'
'x+1/2,-y+1/2,-z'
'-x+1/2,y+1/2,z'
'-x,y,-z+1/2'
'x,-y,z+1/2'
loop_
_atom_site_label
_atom_site_type_symbol
_atom_site_fract_x
_atom_site_fract_y
_atom_site_fract_z
U1 U 0.000 0.169 0.250
Cr1 Cr 0.000 0.437 0.250
O1 O 0.220 0.310 0.093
O2 O 0.228 0.446 0.573
```